Entry 1:
## TbTm12Tl3 (GGA-PBE)

Data for TbTm12Tl3 after structural relaxation.

abc: 4.8079 4.8079 19.5792
angles: 90.00 90.00 90.00
Closest atoms and distances in Å follow each position.
Space group P4/mmm (No. 123)
Asymmetric unit:
Tb (0.0000, 0.0000, 0.0000) [1 per cell]  12 Tm 3.40-3.50
Tm (0.0000, 0.5000, 0.1296) [4 per cell]  8 Tm 3.40-3.50, 2 Tl 3.45, 2 Tb 3.50
Tm (0.0000, 0.5000, 0.3773) [4 per cell]  4 Tl 3.37-3.40, 8 Tm 3.39-3.40
Tm (0.5000, 0.5000, 0.0000) [1 per cell]  4 Tb 3.40, 8 Tm 3.50
Tm (0.5000, 0.5000, 0.2549) [2 per cell]  8 Tm 3.39-3.43, 4 Tl 3.40
Tm (0.5000, 0.5000, 0.5000) [1 per cell]  8 Tm 3.40, 4 Tl 3.40
Tl (0.0000, 0.0000, 0.2563) [2 per cell]  12 Tm 3.37-3.45
Tl (0.0000, 0.0000, 0.5000) [1 per cell]  12 Tm 3.40

Computed properties:
Formation enthalpy at 0 K ... -113 meV/atom
Volume ... 452.59 Å³/f.u.



Entry 2:
## NaBTe2 (GGA-PBE)

Data for NaBTe2 after structural relaxation.

abc: 6.8210 6.8210 9.0385
angles: 90.00 90.00 90.00
Closest atoms and distances in Å follow each position.
Space group I-42d (No. 122)
Asymmetric unit:
Na (0.0000, 0.0000, 0.0000) [4 per cell]  4 Te 3.11
B (0.0000, 0.0000, 0.5000) [4 per cell]  4 Te 2.31
Te (0.1564, 0.2500, 0.6250) [8 per cell]  2 B 2.31

Computed properties:
Volume ... 105.13 Å³/f.u.
Uncorrected formation energy ... -0.6 eV per formula unit



Entry 3:
## KLi2Mg (GGA-PBE)

Data for KLi2Mg after structural relaxation.

abc: 3.5055 5.8612 11.6335
angles: 90.00 90.00 90.00
Closest atoms and distances in Å follow each position.
Space group Imm2 (No. 44)
Asymmetric unit:
K (0.0000, 0.0000, 0.0000) [2 per cell]  6 Li 3.42-3.67, 2 K 3.51, 2 Mg 3.76
Li (0.0000, 0.0000, 0.4932) [2 per cell]  2 Li 3.06, 2 Mg 3.11, 4 K 3.42
Li (0.0000, 0.5000, 0.7776) [2 per cell]  2 Li 3.06
Mg (0.0000, 0.5000, 0.2143) [2 per cell]  2 Li 3.11

Computed properties:
Formation enthalpy at 0 K ... 168 meV/atom
Volume ... 119.51 Å³/f.u.



Entry 4:
## VNi2Au (GGA-PBE)

Data for VNi2Au after structural relaxation.

abc: 6.6068 6.6068 5.2631
angles: 90.00 90.00 90.00
Closest atoms and distances in Å follow each position.
Space group I-42d (No. 122)
Asymmetric unit:
V (0.0000, 0.0000, 0.0000) [4 per cell]  4 Ni 2.28
Ni (0.2168, 0.2500, 0.1250) [8 per cell]  2 V 2.28
Au (0.0000, 0.0000, 0.5000) [4 per cell]  4 Ni 2.58, 2 V 2.63

Computed properties:
Formation enthalpy at 0 K ... 338 meV/atom
Volume ... 57.43 Å³/f.u.



Entry 5:
## Tb3Ho2Th3 (GGA-PBE)

Data for Tb3Ho2Th3 after structural relaxation.

abc: 5.0162 5.0411 10.0856
angles: 90.00 90.00 90.00
Closest atoms and distances in Å follow each position.
Space group Pmmm (No. 47)
Asymmetric unit:
Tb (0.0000, 0.0000, 0.0000) [1 per cell]  4 Tb 3.56, 4 Ho 3.57, 4 Th 3.57
Tb (0.0000, 0.0000, 0.5000) [1 per cell]  4 Ho 3.54, 8 Th 3.56
Tb (0.5000, 0.5000, 0.0000) [1 per cell]  4 Tb 3.56, 4 Th 3.56, 4 Ho 3.58
Ho (0.5000, 0.0000, 0.2518) [2 per cell]  6 Tb 3.54-3.58, 6 Th 3.55-3.56
Th (0.0000, 0.5000, 0.2506) [2 per cell]  2 Th 3.55, 4 Ho 3.56, 6 Tb 3.56-3.57
Th (0.5000, 0.5000, 0.5000) [1 per cell]  4 Th 3.55, 4 Ho 3.55, 4 Tb 3.56

Computed properties:
Formation enthalpy at 0 K ... 41 meV/atom
Volume ... 255.03 Å³/f.u.



Entry 6:
## Ca2Tb2BRh4 (GGA-PBE)

Data for Ca2Tb2BRh4 after structural relaxation.

abc: 6.5406 6.5406 8.0959
angles: 90.00 90.00 90.00
Closest atoms and distances in Å follow each position.
Space group I4/mmm (No. 139)
Asymmetric unit:
Ca (0.0000, 0.0000, 0.1926) [4 per cell]  1 B 2.49
Tb (0.0000, 0.5000, 0.2500) [4 per cell]  8 Rh 3.08, 4 Ca 3.30
B (0.0000, 0.0000, 0.5000) [2 per cell]  4 Rh 2.08
Rh (0.2245, 0.2245, 0.5000) [8 per cell]  1 B 2.08

Computed properties:
Formation enthalpy at 0 K ... -505 meV/atom
Volume ... 173.17 Å³/f.u.



Entry 7:
## Ni2OsAu (GGA-PBE)

Data for Ni2OsAu after structural relaxation.

abc: 2.7044 4.4258 9.1121
angles: 90.00 90.00 90.00
Closest atoms and distances in Å follow each position.
Space group Imm2 (No. 44)
Asymmetric unit:
Ni (0.0000, 0.0000, 0.0000) [2 per cell]  4 Ni 2.48-2.70, 2 Os 2.49, 4 Au 2.59
Ni (0.0000, 0.5000, 0.2713) [2 per cell]  4 Ni 2.48-2.70, 4 Os 2.62, 2 Au 2.77
Os (0.0000, 0.5000, 0.7293) [2 per cell]  6 Ni 2.49-2.62, 2 Os 2.70
Au (0.0000, 0.0000, 0.5063) [2 per cell]  6 Ni 2.59-2.77, 2 Au 2.70, 2 Os 2.86

Computed properties:
Formation enthalpy at 0 K ... 375 meV/atom
Volume ... 54.53 Å³/f.u.



Entry 8:
## VNiAs (GGA-PBE)

Data for VNiAs after structural relaxation.

abc: 5.6200 5.6200 5.6200
angles: 90.00 90.00 90.00
Closest atoms and distances in Å follow each position.
Space group F-43m (No. 216)
Asymmetric unit:
V (0.0000, 0.0000, 0.0000) [4 per cell]  4 Ni 2.43
Ni (0.2500, 0.2500, 0.7500) [4 per cell]  4 As 2.43, 4 V 2.43
As (0.0000, 0.0000, 0.5000) [4 per cell]  4 Ni 2.43

Computed properties:
Formation enthalpy at 0 K ... -192 meV/atom
Volume ... 44.38 Å³/f.u.



Entry 9:
## Tl2CrRe (GGA-PBE)

Data for Tl2CrRe after structural relaxation.

abc: 6.1295 8.1836 3.0446
angles: 90.00 90.00 90.00
Closest atoms and distances in Å follow each position.
Space group Cmmm (No. 65)
Asymmetric unit:
Tl (0.2500, 0.2500, 0.0000) [4 per cell]  4 Cr 2.98, 4 Re 2.98, 4 Tl 3.04-3.06
Cr (0.0000, 0.0000, 0.5000) [2 per cell]  8 Tl 2.98, 2 Cr 3.04, 2 Re 3.06
Re (0.0000, 0.5000, 0.5000) [2 per cell]  8 Tl 2.98, 2 Re 3.04, 2 Cr 3.06

Computed properties:
Formation enthalpy at 0 K ... 1052 meV/atom
Volume ... 76.36 Å³/f.u.



Entry 10:
## BeHBr (GGA-PBE)

Data for BeHBr after structural relaxation.

abc: 7.6537 4.2336 6.9915
angles: 90.00 103.15 90.00
Closest atoms and distances in Å follow each position.
Space group P2_1/c (No. 14)
Asymmetric unit:
Be (0.1015, 0.1679, 0.2759) [4 per cell]  2 H 1.42-1.44
H (0.0643, 0.6659, 0.7650) [4 per cell]  2 Be 1.42-1.44
Br (0.2728, 0.2483, 0.5685) [4 per cell]  2 Be 2.19

Computed properties:
Volume ... 55.15 Å³/f.u.



Entry 11:
## Ac2YPO8 (GGA-PBE)

Data for Ac2YPO8 after structural relaxation.

abc: 5.5391 5.5391 6.1593
angles: 90.00 90.00 120.00
Closest atoms and distances in Å follow each position.
Space group P-3m1 (No. 164)
Asymmetric unit:
Ac (0.3333, 0.6667, 0.3579) [2 per cell]  1 O 2.17
Y (0.0000, 0.0000, 0.0000) [1 per cell]  6 O 2.47
P (0.0000, 0.0000, 0.5000) [1 per cell]  6 O 1.73
O (0.1448, 0.2895, 0.6680) [6 per cell]  1 P 1.73
O (0.3333, 0.6667, 0.0060) [2 per cell]  1 Ac 2.17

Computed properties:
Volume ... 163.66 Å³/f.u.
Uncorrected formation energy ... -28.7 eV per formula unit



Entry 12:
## CuAuCl2 (GGA-PBE)

Data for CuAuCl2 after structural relaxation.

abc: 12.2026 3.4900 4.7795
angles: 90.00 97.04 90.00
Closest atoms and distances in Å follow each position.
Space group C2/m (No. 12)
Asymmetric unit:
Cu (0.0000, 0.0000, 0.0000) [2 per cell]  4 Cl 2.48
Au (0.0000, 0.5000, 0.5000) [2 per cell]  2 Cl 2.34
Cl (0.1331, 0.5000, 0.1872) [4 per cell]  1 Au 2.34, 2 Cu 2.48

Computed properties:
Volume ... 101.01 Å³/f.u.
Uncorrected formation energy ... -0.9 eV per formula unit



Number 1: total DFT energy (no corrections) -4.200 eV per atom. Number 2: total DFT energy (no corrections) -3.720 eV per atom. Number 3: total DFT energy (no corrections) -1.462 eV per atom. Number 4: total DFT energy (no corrections) -5.651 eV per atom. Number 5: total DFT energy (no corrections) -5.622 eV per atom. Number 6: total DFT energy (no corrections) -5.988 eV per atom. Number 7: total DFT energy (no corrections) -6.143 eV per atom. Number 8: total DFT energy (no corrections) -6.709 eV per atom. Number 9: total DFT energy (no corrections) -5.649 eV per atom. Number 10: total DFT energy (no corrections) -3.457 eV per atom. Number 11: total DFT energy (no corrections) -7.369 eV per atom. Number 12: total DFT energy (no corrections) -2.996 eV per atom.